Entry 1:
This record from Alexandria describes CuSbRu2 after structural relaxation. The functional is PBE.

Lattice parameters (Å, degrees): 4.7934 4.7934 4.7934 131.37 131.37 71.23
Atoms (fractional coordinates):
Cu  0.0000  0.0000  0.0000
Sb  0.7500  0.2500  0.5000
Ru  0.2500  0.7500  0.5000
Ru  0.5000  0.5000  0.0000

Output
The formation energy without anion corrections comes out at 0.25 eV/atom. For the final energy, the calculation gives -6.439 eV per atom.

Entry 2:
This record from Alexandria describes KCrSi2 after structural relaxation. The functional is PBE.

Lattice parameters (Å, degrees): 4.3098 4.3098 7.5899 113.58 113.58 43.88
Atoms (fractional coordinates):
K  0.0000  0.0000  0.0000
Cr  0.7795  0.7795  0.4866
Si  0.1245  0.1245  0.6107
Si  0.4360  0.4360  0.3669

Output
The energy above the most stable polymorph in this dataset is 0.021 eV/atom. The formation energy without anion corrections comes out at 0.18 eV/atom. For the final energy, the calculation gives -5.216 eV per atom.

Entry 3:
This record from Alexandria describes BaNiIr2 after structural relaxation. The functional is PBE.

Lattice parameters (Å, degrees): 5.3189 5.3189 5.3189 134.49 134.49 66.32
Atoms (fractional coordinates):
Ba  0.0000  0.0000  0.0000
Ni  0.5000  0.5000  0.0000
Ir  0.2500  0.7500  0.5000
Ir  0.7500  0.2500  0.5000

Output
For the final energy, the calculation gives -5.492 eV per atom. For the formation energy, the calculation gives 333.8 kJ/mol of formula units.

| no. | calculated density (g cm⁻³) |
| --- | --- |
| 1 | 10.6 |
| 2 | 2.8 |
| 3 | 12.8 |